Below is crystalline Zr2Si at its relaxed geometry, with properties calculated at the PBE-GGA level.

Summary:
The symmetry is Fm-3m. The uncorrected energy is -7.9250 eV per atom. As for the crystal system: cubic.

Cell lengths 4.511, 4.511, 4.511 Å; angles 60.00, 60.00, 60.00 degrees
Fractional positions:
Zr (0.250, 0.250, 0.250)
Zr (0.750, 0.750, 0.750)
Si (0.000, 0.000, 0.000)

=====

Below is crystalline YHoIr at its relaxed geometry, with properties calculated at the PBE-GGA level.

Summary:
The symmetry is Pnma. The energy above the most stable polymorph in this dataset is 0.000 eV per atom. The formation energy from the elements comes out at -732 meV/atom. As for the crystal system: orthorhombic.

Cell lengths 7.215, 4.615, 8.702 Å; angles 90.00, 90.00, 90.00 degrees
Fractional positions:
Y (0.010, 0.250, 0.165)
Y (0.490, 0.750, 0.665)
Y (0.510, 0.250, 0.335)
Y (0.990, 0.750, 0.835)
Ho (0.142, 0.250, 0.579)
Ho (0.358, 0.750, 0.079)
Ho (0.642, 0.250, 0.921)
Ho (0.858, 0.750, 0.421)
Ir (0.247, 0.250, 0.906)
Ir (0.253, 0.750, 0.406)
Ir (0.747, 0.250, 0.594)
Ir (0.753, 0.750, 0.094)

=====

Below is crystalline Gd2TmFe2B2N3 at its relaxed geometry, with properties calculated at the PBE-GGA level.

Summary:
The symmetry is I4/mmm. The uncorrected energy is -8.0360 eV per atom. As for the crystal system: tetragonal.

Cell lengths 10.443, 10.443, 10.443 Å; angles 160.94, 160.94, 27.08 degrees
Fractional positions:
Gd (0.122, 0.122, 0.000)
Gd (0.878, 0.878, 0.000)
Tm (0.500, 0.500, 0.000)
Fe (0.250, 0.750, 0.500)
Fe (0.750, 0.250, 0.500)
B (0.313, 0.313, 0.000)
B (0.687, 0.687, 0.000)
N (0.000, 0.000, 0.000)
N (0.386, 0.386, 0.000)
N (0.614, 0.614, 0.000)

=====

Below is crystalline AcNdNO at its relaxed geometry, with properties calculated at the PBE-GGA level.

Summary:
The symmetry is P4/nmm. The energy above the most stable polymorph in this dataset is 0.005 eV per atom. As for the crystal system: tetragonal.

Cell lengths 5.312, 5.312, 5.184 Å; angles 90.00, 90.00, 90.00 degrees
Fractional positions:
Ac (0.250, 0.750, 0.000)
Ac (0.750, 0.250, 0.000)
Nd (0.250, 0.250, 0.500)
Nd (0.750, 0.750, 0.500)
N (0.250, 0.250, 0.006)
N (0.750, 0.750, 0.994)
O (0.250, 0.750, 0.500)
O (0.750, 0.250, 0.500)

=====

Below is crystalline LuZnRe2 at its relaxed geometry, with properties calculated at the PBE-GGA level.

Summary:
The symmetry is F-43m. The formation energy from the elements comes out at 130 meV/atom. As for the crystal system: cubic.

Cell lengths 4.535, 4.535, 4.535 Å; angles 60.00, 60.00, 60.00 degrees
Fractional positions:
Lu (0.000, 0.000, 0.000)
Zn (0.250, 0.250, 0.250)
Re (0.500, 0.500, 0.500)
Re (0.750, 0.750, 0.750)

=====

Below is crystalline Lu2S3 at its relaxed geometry, with properties calculated at the PBE-GGA level.

Summary:
The symmetry is Pnma. The uncorrected energy is -6.3061 eV per atom. As for the crystal system: orthorhombic.

Cell lengths 10.421, 3.773, 10.319 Å; angles 90.00, 90.00, 90.00 degrees
Fractional positions:
Lu (0.011, 0.250, 0.187)
Lu (0.192, 0.250, 0.503)
Lu (0.308, 0.750, 0.003)
Lu (0.489, 0.750, 0.687)
Lu (0.511, 0.250, 0.313)
Lu (0.692, 0.250, 0.997)
Lu (0.808, 0.750, 0.497)
Lu (0.989, 0.750, 0.813)
S (0.046, 0.750, 0.373)
S (0.118, 0.250, 0.945)
S (0.226, 0.750, 0.694)
S (0.274, 0.250, 0.194)
S (0.382, 0.750, 0.445)
S (0.454, 0.250, 0.873)
S (0.546, 0.750, 0.127)
S (0.618, 0.250, 0.555)
S (0.726, 0.750, 0.806)
S (0.774, 0.250, 0.306)
S (0.882, 0.750, 0.055)
S (0.954, 0.250, 0.627)

=====

Below is crystalline LiGdZnS3 at its relaxed geometry, with properties calculated at the PBE-GGA level.

Summary:
The symmetry is Cmcm. The energy above the most stable polymorph in this dataset is 0.022 eV per atom. As for the crystal system: orthorhombic.

Cell lengths 6.421, 6.421, 10.680 Å; angles 90.00, 90.00, 145.05 degrees
Fractional positions:
Li (0.234, 0.766, 0.750)
Li (0.766, 0.234, 0.250)
Gd (0.000, 0.000, 0.000)
Gd (0.000, 0.000, 0.500)
Zn (0.474, 0.526, 0.250)
Zn (0.526, 0.474, 0.750)
S (0.090, 0.910, 0.250)
S (0.358, 0.642, 0.080)
S (0.358, 0.642, 0.420)
S (0.642, 0.358, 0.580)
S (0.642, 0.358, 0.920)
S (0.910, 0.090, 0.750)

=====

Below is crystalline BeGa2Ir at its relaxed geometry, with properties calculated at the PBE-GGA level.

Summary:
The symmetry is F-43m. The uncorrected energy is -4.6186 eV per atom. As for the crystal system: cubic.

Cell lengths 4.249, 4.249, 4.249 Å; angles 60.00, 60.00, 60.00 degrees
Fractional positions:
Be (0.000, 0.000, 0.000)
Ga (0.500, 0.500, 0.500)
Ga (0.750, 0.750, 0.750)
Ir (0.250, 0.250, 0.250)

=====

What did the third record say?
Below is crystalline Gd2TmFe2B2N3 at its relaxed geometry, with properties calculated at the PBE-GGA level.

Summary:
The symmetry is I4/mmm. The uncorrected energy is -8.0360 eV per atom. As for the crystal system: tetragonal.

Cell lengths 10.443, 10.443, 10.443 Å; angles 160.94, 160.94, 27.08 degrees
Fractional positions:
Gd (0.122, 0.122, 0.000)
Gd (0.878, 0.878, 0.000)
Tm (0.500, 0.500, 0.000)
Fe (0.250, 0.750, 0.500)
Fe (0.750, 0.250, 0.500)
B (0.313, 0.313, 0.000)
B (0.687, 0.687, 0.000)
N (0.000, 0.000, 0.000)
N (0.386, 0.386, 0.000)
N (0.614, 0.614, 0.000)